# 1
TaRe2Pb | PBE-GGA | relaxed

Output
uncorrected energy	-9.444	eV per atom
spin magnetization	0.000	μB/atom
SG	I-4m2
formation enthalpy at 0 K	0.670	eV/atom
crystal system	tetragonal

Unit cell a=5.234 b=5.234 c=5.234 alpha=135.29 beta=135.29 gamma=65.08
Fractional positions:
Pb 0.750 0.250 0.500
Ta 0.500 0.500 0.000
Re 0.250 0.750 0.500
Re 0.000 0.000 0.000


# 2
Ta2RePb | PBE-GGA | relaxed

Output
uncorrected energy	-9.394	eV per atom
spin magnetization	0.000	μB/atom
SG	F-43m
formation enthalpy at 0 K	0.571	eV/atom
crystal system	cubic

Unit cell a=4.709 b=4.709 c=4.709 alpha=60.00 beta=60.00 gamma=60.00
Fractional positions:
Pb 0.500 0.500 0.500
Ta 0.250 0.250 0.250
Ta 0.000 0.000 0.000
Re 0.750 0.750 0.750


# 3
TaRe2Pb | PBE-GGA | relaxed

Output
uncorrected energy	-9.545	eV per atom
spin magnetization	0.000	μB/atom
SG	P4/mmm
formation enthalpy at 0 K	0.569	eV/atom
crystal system	tetragonal

Unit cell a=3.373 b=4.557 c=4.557 alpha=90.00 beta=90.00 gamma=90.00
Fractional positions:
Re 0.000 0.000 0.000
Pb 0.500 0.000 0.500
Re 0.000 0.500 0.500
Ta 0.500 0.500 0.000


# 4
TaRe4Pb | PBE-GGA | relaxed

Output
uncorrected energy	-10.424	eV per atom
spin magnetization	0.000	μB/atom
SG	F-43m
formation enthalpy at 0 K	0.469	eV/atom
crystal system	cubic

Unit cell a=5.282 b=5.282 c=5.282 alpha=60.00 beta=60.00 gamma=60.00
Fractional positions:
Re 0.375 0.876 0.375
Ta 0.750 0.750 0.750
Re 0.375 0.375 0.876
Re 0.876 0.375 0.375
Re 0.375 0.375 0.375
Pb 0.000 0.000 0.000


# 5
TaRe2Pb | PBE-GGA | relaxed

Output
uncorrected energy	-9.302	eV per atom
spin magnetization	0.017	μB/atom
SG	F-43m
formation enthalpy at 0 K	0.812	eV/atom
crystal system	cubic

Unit cell a=4.637 b=4.637 c=4.637 alpha=60.00 beta=60.00 gamma=60.00
Site moments in Bohr magnetons follow the coordinates.
Fractional positions:
Re 0.250 0.250 0.250  0.00
Ta 0.750 0.750 0.750  -0.01
Pb 0.500 0.500 0.500  0.00
Re 0.000 0.000 0.000  0.06


# 6
Ta2RePb | PBE-GGA | relaxed

Output
uncorrected energy	-8.879	eV per atom
spin magnetization	0.124	μB/atom
SG	I-42d
formation enthalpy at 0 K	1.086	eV/atom
crystal system	tetragonal

Unit cell a=4.074 b=4.074 c=10.212 alpha=78.50 beta=78.50 gamma=90.00
Site moments in Bohr magnetons follow the coordinates.
Fractional positions:
Pb 0.750 0.250 0.500  0.01
Re 0.500 0.500 0.000  0.42
Ta 0.875 0.872 0.750  0.00
Ta 0.622 0.125 0.250  0.00
Re 0.250 0.750 0.500  0.43
Ta 0.128 0.625 0.250  0.00
Pb 0.000 0.000 0.000  0.01
Ta 0.375 0.378 0.750  0.00


# 7
Ta2RePb | PBE-GGA | relaxed

Output
uncorrected energy	-9.564	eV per atom
spin magnetization	0.000	μB/atom
SG	Pm
formation enthalpy at 0 K	0.401	eV/atom
crystal system	monoclinic

Unit cell a=4.621 b=2.990 c=5.633 alpha=80.96 beta=90.00 gamma=90.00
Fractional positions:
Ta 0.000 0.952 0.974
Ta 0.500 0.252 0.232
Pb 0.000 0.637 0.491
Re 0.500 0.659 0.803


# 8
TaRePb2 | PBE-GGA | relaxed

Output
uncorrected energy	-7.061	eV per atom
spin magnetization	0.000	μB/atom
relative energy among the computed polymorphs	608.1	meV per atom
SG	F-43m
formation enthalpy at 0 K	0.868	eV/atom
crystal system	cubic

Unit cell a=4.917 b=4.917 c=4.917 alpha=60.00 beta=60.00 gamma=60.00
Fractional positions:
Re 0.500 0.500 0.500
Pb 0.000 0.000 0.000
Pb 0.750 0.750 0.750
Ta 0.250 0.250 0.250


# 9
TaRePb2 | PBE-GGA | relaxed

Output
uncorrected energy	-6.886	eV per atom
spin magnetization	0.070	μB/atom
relative energy among the computed polymorphs	782.8	meV per atom
SG	Fm-3m
formation enthalpy at 0 K	1.043	eV/atom
crystal system	cubic

Unit cell a=4.848 b=4.848 c=4.848 alpha=60.00 beta=60.00 gamma=60.00
Site moments in Bohr magnetons follow the coordinates.
Fractional positions:
Pb 0.250 0.250 0.250  0.00
Pb 0.750 0.750 0.750  0.00
Ta 0.000 0.000 0.000  0.19
Re 0.500 0.500 0.500  0.02


# 10
Ta2RePb | PBE-GGA | relaxed

Output
uncorrected energy	-9.636	eV per atom
spin magnetization	0.000	μB/atom
SG	Cmmm
formation enthalpy at 0 K	0.330	eV/atom
crystal system	orthorhombic

Unit cell a=2.983 b=2.983 c=9.151 alpha=90.00 beta=90.00 gamma=110.98
Fractional positions:
Ta 0.000 0.000 0.523
Re 0.500 0.500 0.750
Ta 0.000 0.000 0.977
Pb 0.500 0.500 0.250


# 11
TaRe2Pb | PBE-GGA | relaxed

Output
uncorrected energy	-9.550	eV per atom
spin magnetization	0.000	μB/atom
SG	Cmmm
formation enthalpy at 0 K	0.564	eV/atom
crystal system	orthorhombic

Unit cell a=2.889 b=2.889 c=9.579 alpha=90.00 beta=90.00 gamma=111.26
Fractional positions:
Ta 0.500 0.500 0.250
Pb 0.500 0.500 0.750
Re 0.000 0.000 0.030
Re 0.000 0.000 0.470


# 12
TaRe2Pb | PBE-GGA | relaxed

Output
uncorrected energy	-9.529	eV per atom
spin magnetization	0.000	μB/atom
SG	R-3m
formation enthalpy at 0 K	0.585	eV/atom
crystal system	trigonal

Unit cell a=9.296 b=9.296 c=9.296 alpha=19.07 beta=19.07 gamma=19.07
Fractional positions:
Re 0.510 0.510 0.510
Ta 0.250 0.250 0.250
Re 0.990 0.990 0.990
Pb 0.750 0.750 0.750


Q: What is the formation enthalpy at 0 K in the fourth record?
A: 0.469 eV/atom


Repeat the twelfth record exactly.
TaRe2Pb | PBE-GGA | relaxed

Output
uncorrected energy	-9.529	eV per atom
spin magnetization	0.000	μB/atom
SG	R-3m
formation enthalpy at 0 K	0.585	eV/atom
crystal system	trigonal

Unit cell a=9.296 b=9.296 c=9.296 alpha=19.07 beta=19.07 gamma=19.07
Fractional positions:
Re 0.510 0.510 0.510
Ta 0.250 0.250 0.250
Re 0.990 0.990 0.990
Pb 0.750 0.750 0.750


Q: What is the formula in the twelfth record?
A: TaRe2Pb